Model one:
This record from Alexandria describes LaGdDy2 after structural relaxation. The functional is GGA-PBE.

It has space group R-3m (No. 166, hexagonal axes), with a = 3.6069 Å, b = 3.6069 Å, c = 35.1363 Å, α = 90.00°, β = 90.00° and γ = 120.00°. The distinct sites, in fractional coordinates, are La at (0.0000, 0.0000, 0.0000), Gd at (0.0000, 0.0000, 0.5000) and Dy at (0.0000, 0.0000, 0.2488).

Its volume is 132.0 Å³/f.u.

***

Model two:
This record from Alexandria describes LaGdDy2 after structural relaxation. The functional is GGA-PBE.

It has space group Fm-3m (No. 225), with a = 8.1266 Å, b = 8.1266 Å, c = 8.1266 Å, α = 90.00°, β = 90.00° and γ = 90.00°. The distinct sites, in fractional coordinates, are La at (0.0000, 0.0000, 0.0000), Gd at (0.0000, 0.0000, 0.5000) and Dy at (0.2500, 0.2500, 0.2500).

Its volume is 134.2 Å³/f.u.

***

Relative energies, unit eV/atom: model one 0.000; model two 0.085

***

Model one:
This record from Alexandria describes LaGdDy2 after structural relaxation. The functional is GGA-PBE.

It has space group P4/mmm (No. 123), with a = 3.6285 Å, b = 3.6285 Å, c = 10.0719 Å, α = 90.00°, β = 90.00° and γ = 90.00°. The distinct sites, in fractional coordinates, are La at (0.0000, 0.0000, 0.0000), Gd at (0.0000, 0.0000, 0.5000) and Dy at (0.5000, 0.5000, 0.2555).

Its volume is 132.6 Å³/f.u.

***

Model two:
This record from Alexandria describes LaGdDy2 after structural relaxation. The functional is GGA-PBE.

It has space group P4/mmm (No. 123), with a = 5.1154 Å, b = 5.1154 Å, c = 5.0648 Å, α = 90.00°, β = 90.00° and γ = 90.00°. The distinct sites, in fractional coordinates, are La at (0.0000, 0.0000, 0.0000), Gd at (0.5000, 0.5000, 0.0000) and Dy at (0.0000, 0.5000, 0.5000).

Its volume is 132.5 Å³/f.u.

***

Relative energies, unit eV/atom: model one 0.008; model two 0.000

***

Model one:
This record from Alexandria describes La2GdDy after structural relaxation. The functional is GGA-PBE.

It has space group R-3m (No. 166, hexagonal axes), with a = 3.5569 Å, b = 3.5569 Å, c = 38.0096 Å, α = 90.00°, β = 90.00° and γ = 120.00°. The distinct sites, in fractional coordinates, are La at (0.0000, 0.0000, 0.0877), Gd at (0.0000, 0.0000, 0.0000) and Dy at (0.0000, 0.0000, 0.5000).

Its volume is 138.8 Å³/f.u.

***

Model two:
This record from Alexandria describes La2GdDy after structural relaxation. The functional is GGA-PBE.

It has space group Fm-3m (No. 225), with a = 8.2316 Å, b = 8.2316 Å, c = 8.2316 Å, α = 90.00°, β = 90.00° and γ = 90.00°. The distinct sites, in fractional coordinates, are La at (0.2500, 0.2500, 0.2500), Gd at (0.0000, 0.0000, 0.0000) and Dy at (0.0000, 0.0000, 0.5000).

Its volume is 139.4 Å³/f.u.

***

Model three:
This record from Alexandria describes La2GdDy after structural relaxation. The functional is GGA-PBE.

It has space group P4/mmm (No. 123), with a = 5.2093 Å, b = 5.2093 Å, c = 5.0811 Å, α = 90.00°, β = 90.00° and γ = 90.00°. The distinct sites, in fractional coordinates, are La at (0.0000, 0.5000, 0.0000), Gd at (0.0000, 0.0000, 0.5000) and Dy at (0.5000, 0.5000, 0.5000).

Its volume is 137.9 Å³/f.u.

***

Relative energies, unit eV/atom: model one 0.133; model two 0.072; model three 0.000

***

Model one:
This record from Alexandria describes LiGdDy2 after structural relaxation. The functional is GGA-PBE.

It has space group P4/mmm (No. 123), with a = 5.6043 Å, b = 5.6043 Å, c = 3.7221 Å, α = 90.00°, β = 90.00° and γ = 90.00°. The distinct sites, in fractional coordinates, are Li at (0.0000, 0.0000, 0.0000), Gd at (0.5000, 0.5000, 0.0000) and Dy at (0.0000, 0.5000, 0.5000).

Its volume is 116.9 Å³/f.u.

***

Model two:
This record from Alexandria describes LiGdDy2 after structural relaxation. The functional is GGA-PBE.

It has space group P4/mmm (No. 123), with a = 3.6060 Å, b = 3.6060 Å, c = 8.8269 Å, α = 90.00°, β = 90.00° and γ = 90.00°. The distinct sites, in fractional coordinates, are Li at (0.0000, 0.0000, 0.0000), Gd at (0.0000, 0.0000, 0.5000) and Dy at (0.5000, 0.5000, 0.2214).

Its volume is 114.8 Å³/f.u.

***

Model three:
This record from Alexandria describes LiGdDy2 after structural relaxation. The functional is GGA-PBE.

It has space group Fm-3m (No. 225), with a = 7.7522 Å, b = 7.7522 Å, c = 7.7522 Å, α = 90.00°, β = 90.00° and γ = 90.00°. The distinct sites, in fractional coordinates, are Li at (0.0000, 0.0000, 0.0000), Gd at (0.0000, 0.0000, 0.5000) and Dy at (0.2500, 0.2500, 0.2500).

Its volume is 116.5 Å³/f.u.

***

Relative energies, unit eV/atom: model one 0.079; model two 0.000; model three 0.110

***

Model one:
This record from Alexandria describes Gd2DyMg after structural relaxation. The functional is GGA-PBE.

It has space group P4/mmm (No. 123), with a = 3.5864 Å, b = 3.5864 Å, c = 9.3722 Å, α = 90.00°, β = 90.00° and γ = 90.00°. The distinct sites, in fractional coordinates, are Gd at (0.0000, 0.0000, 0.2361), Dy at (0.5000, 0.5000, 0.5000) and Mg at (0.5000, 0.5000, 0.0000).

Its volume is 120.5 Å³/f.u.

***

Model two:
This record from Alexandria describes Gd2DyMg after structural relaxation. The functional is GGA-PBE.

It has space group Fm-3m (No. 225), with a = 7.8019 Å, b = 7.8019 Å, c = 7.8019 Å, α = 90.00°, β = 90.00° and γ = 90.00°. The distinct sites, in fractional coordinates, are Gd at (0.2500, 0.2500, 0.2500), Dy at (0.0000, 0.0000, 0.0000) and Mg at (0.0000, 0.0000, 0.5000).

Its volume is 118.7 Å³/f.u.

***

Relative energies, unit eV/atom: model one 0.000; model two 0.060

***

Model one:
This record from Alexandria describes GdDyMg after structural relaxation. The functional is GGA-PBE.

It has space group I4mm (No. 107), with a = 3.6727 Å, b = 3.6727 Å, c = 13.0047 Å, α = 90.00°, β = 90.00° and γ = 90.00°. The distinct sites, in fractional coordinates, are Gd at (0.0000, 0.0000, 0.0000), Dy at (0.0000, 0.0000, 0.6805) and Mg at (0.0000, 0.0000, 0.3378).

Its volume is 87.7 Å³/f.u.

***

Model two:
This record from Alexandria describes GdDyMg after structural relaxation. The functional is GGA-PBE.

It has space group P3m1 (No. 156), with a = 5.4556 Å, b = 5.4556 Å, c = 3.3793 Å, α = 90.00°, β = 90.00° and γ = 120.00°. The distinct sites, in fractional coordinates, are Gd at (0.0000, 0.0000, 0.0000), Dy at (0.3333, 0.6667, 0.4180) and Mg at (0.6667, 0.3333, 0.7049).

Its volume is 87.1 Å³/f.u.

***

Relative energies, unit eV/atom: model one 0.000; model two 0.088

***

Model one:
This record from Alexandria describes GdDyN after structural relaxation. The functional is GGA-PBE.

It has space group P3m1 (No. 156), with a = 3.5233 Å, b = 3.5233 Å, c = 6.0077 Å, α = 90.00°, β = 90.00° and γ = 120.00°. The distinct sites, in fractional coordinates, are Gd at (0.0000, 0.0000, 0.0000), Dy at (0.3333, 0.6667, 0.4490) and N at (0.6667, 0.3333, 0.2342).

Its volume is 64.6 Å³/f.u.

***

Model two:
This record from Alexandria describes GdDyN after structural relaxation. The functional is GGA-PBE.

It has space group F-43m (No. 216), with a = 6.0357 Å, b = 6.0357 Å, c = 6.0357 Å, α = 90.00°, β = 90.00° and γ = 90.00°. The distinct sites, in fractional coordinates, are Gd at (0.0000, 0.0000, 0.0000), Dy at (0.0000, 0.0000, 0.5000) and N at (0.2500, 0.2500, 0.2500).

Its volume is 55.0 Å³/f.u.

***

Relative energies, unit eV/atom: model one 0.000; model two 0.678

***

Model one:
This record from Alexandria describes NaGdDy after structural relaxation. The functional is GGA-PBE.

It has space group P3m1 (No. 156), with a = 3.5414 Å, b = 3.5414 Å, c = 9.2062 Å, α = 90.00°, β = 90.00° and γ = 120.00°. The distinct sites, in fractional coordinates, are Na at (0.0000, 0.0000, 0.0000), Gd at (0.6667, 0.3333, 0.3524) and Dy at (0.3333, 0.6667, 0.6525).

Its volume is 100.0 Å³/f.u.

***

Model two:
This record from Alexandria describes NaGdDy after structural relaxation. The functional is GGA-PBE.

It has space group I4mm (No. 107), with a = 3.5317 Å, b = 3.5317 Å, c = 16.1247 Å, α = 90.00°, β = 90.00° and γ = 90.00°. The distinct sites, in fractional coordinates, are Na at (0.0000, 0.0000, 0.0000), Gd at (0.0000, 0.0000, 0.3223) and Dy at (0.0000, 0.0000, 0.6740).

Its volume is 100.6 Å³/f.u.

***

Relative energies, unit eV/atom: model one 0.000; model two 0.017